(1)
This record from Alexandria describes a relaxed Ba4InO2 crystal. The functional is PBE-GGA.

a = 9.9741 Å, b = 18.6361 Å, c = 6.9500 Å
α = 90.00°, β = 130.18°, γ = 90.00°
Space group Cc (No. 9)
One atom of each set of equivalent atoms:
Ba (0.0000, 0.0384, 0.0000)
Ba (0.0321, 0.2372, 0.1777)
Ba (0.0400, 0.4475, 0.1365)
Ba (0.2558, 0.3397, 0.9177)
In (0.2654, 0.1358, 0.7975)
O (0.2633, 0.3370, 0.2956)
O (0.2691, 0.4783, 0.0236)

- Electronic total energy: -4.40 eV/atom
- ρ: 4.68 g/cm3
- Total magnetic moment: 0.111 μB per atom



(2)
This record from Alexandria describes a relaxed PaTe2Pd crystal. The functional is PBE-GGA.

a = 4.1471 Å, b = 5.3840 Å, c = 10.0323 Å
α = 90.00°, β = 90.00°, γ = 90.00°
Space group Immm (No. 71)
One atom of each set of equivalent atoms:
Pa (0.0000, 0.0000, 0.0000)
Te (0.0000, 0.0000, 0.3232)
Pd (0.0000, 0.5000, 0.0000)

- Offset from the most stable computed form: 0.391 eV per atom
- Electronic total energy: -5.46 eV/atom
- ρ: 8.79 g/cm3
- Total magnetic moment: 0.375 μB per atom



(3)
This record from Alexandria describes a relaxed MnTlOs2 crystal. The functional is PBE-GGA.

a = 2.8757 Å, b = 2.8757 Å, c = 8.1038 Å
α = 90.00°, β = 90.00°, γ = 90.00°
Space group P4mm (No. 99)
One atom of each set of equivalent atoms:
Mn (0.0000, 0.0000, 0.0000)
Tl (0.5000, 0.5000, 0.7142)
Os (0.0000, 0.0000, 0.4348)
Os (0.5000, 0.5000, 0.2322)

- Offset from the most stable computed form: 0.000 eV per atom
- E_form: 0.484 eV per atom
- Electronic total energy: -8.01 eV/atom
- ρ: 15.85 g/cm3
- Total magnetic moment: 0.984 μB per atom



(4)
This record from Alexandria describes a relaxed Tb8Pr2Tl crystal. The functional is PBE-GGA.

a = 18.2023 Å, b = 4.9971 Å, c = 7.9589 Å
α = 90.00°, β = 105.31°, γ = 90.00°
Space group C2/m (No. 12)
One atom of each set of equivalent atoms:
Tb (0.0442, 0.0000, 0.2231)
Tb (0.0884, 0.5000, 0.9426)
Tb (0.1340, 0.0000, 0.6747)
Tb (0.1799, 0.5000, 0.4088)
Pr (0.2220, 0.0000, 0.1357)
Tl (0.0000, 0.5000, 0.5000)

- E_form: -0.032 eV per atom
- Electronic total energy: -4.48 eV/atom
- ρ: 8.36 g/cm3
- Total magnetic moment: 0.000 μB per atom



(5)
This record from Alexandria describes a relaxed NdErGa6 crystal. The functional is PBE-GGA.

a = 6.3350 Å, b = 6.3350 Å, c = 4.6023 Å
α = 90.00°, β = 90.00°, γ = 120.00°
Space group P-6m2 (No. 187)
One atom of each set of equivalent atoms:
Nd (0.0000, 0.0000, 0.0000)
Er (0.6667, 0.3333, 0.5000)
Ga (0.0382, 0.5191, 0.0000)
Ga (0.1897, 0.3794, 0.5000)

- E_form: -0.536 eV per atom
- Electronic total energy: -3.97 eV/atom
- ρ: 7.58 g/cm3
- Total magnetic moment: 0.000 μB per atom



(6)
This record from Alexandria describes a relaxed RbMn2PdCl8 crystal. The functional is PBE-GGA.

a = 6.4736 Å, b = 6.4736 Å, c = 9.2932 Å
α = 90.00°, β = 90.00°, γ = 120.00°
Space group P-3 (No. 147)
One atom of each set of equivalent atoms:
Rb (0.0000, 0.0000, 0.0000)
Mn (0.3333, 0.6667, 0.7231)
Pd (0.0000, 0.0000, 0.5000)
Cl (0.0008, 0.3074, 0.6589)
Cl (0.3333, 0.6667, 0.9650)

- Electronic total energy: -4.26 eV/atom
- ρ: 2.88 g/cm3
- Total magnetic moment: 0.731 μB per atom



(7)
This record from Alexandria describes a relaxed NiPd4Au crystal. The functional is PBE-GGA.

a = 2.8056 Å, b = 3.8572 Å, c = 8.4669 Å
α = 90.00°, β = 90.00°, γ = 90.00°
Space group Pmmm (No. 47)
One atom of each set of equivalent atoms:
Ni (0.0000, 0.0000, 0.0000)
Pd (0.0000, 0.0000, 0.3206)
Pd (0.5000, 0.5000, 0.1552)
Au (0.5000, 0.5000, 0.5000)

- E_form: 0.008 eV per atom
- Electronic total energy: -4.96 eV/atom
- ρ: 12.35 g/cm3
- Total magnetic moment: 0.330 μB per atom



(8)
This record from Alexandria describes a relaxed LaTmIn6 crystal. The functional is PBE-GGA.

a = 4.7087 Å, b = 4.7087 Å, c = 9.3751 Å
α = 90.00°, β = 90.00°, γ = 90.00°
Space group P4/mmm (No. 123)
One atom of each set of equivalent atoms:
La (0.0000, 0.0000, 0.0000)
Tm (0.0000, 0.0000, 0.5000)
In (0.0000, 0.5000, 0.2586)
In (0.5000, 0.5000, 0.0000)
In (0.5000, 0.5000, 0.5000)

- Offset from the most stable computed form: 0.000 eV per atom
- E_form: -0.426 eV per atom
- Electronic total energy: -3.65 eV/atom
- ρ: 7.96 g/cm3
- Total magnetic moment: 0.000 μB per atom